{"formula": "MnAg4Cl7", "functional": "PBE", "state": "relaxed", "cell": [[6.6390, -1.8648, 0.0000], [6.6390, 1.8648, 0.0000], [-5.5802, 0.0000, 11.5783]], "species": ["Mn", "Ag", "Ag", "Ag", "Ag", "Cl", "Cl", "Cl", "Cl", "Cl", "Cl", "Cl"], "fractional_positions": [[0.0000, 0.0000, 0.0000], [0.2267, 0.2267, 0.6971], [0.5994, 0.5994, 0.3512], [0.7895, 0.7895, 0.1480], [0.9152, 0.9152, 0.5388], [0.1303, 0.1303, 0.1938], [0.2596, 0.2596, 0.4989], [0.3911, 0.3911, 0.0357], [0.5725, 0.5725, 0.6410], [0.6097, 0.6097, 0.9613], [0.8786, 0.8786, 0.8038], [0.9482, 0.9482, 0.3420]], "vol_a3_per_atom": 23.9, "dos_ef_per_ev_fu": 4.53, "formation_energy_uncorrected_ev_per_atom": -0.581, "magnetic_moment_mub_per_cell": 4.2}